# Tb4Pr3Sm4, relaxed, DFT PBE
# Mass density in g/cm³: 7.19
# ΔE_f in meV per atom: 168
# Total moment in μB/f.u.: 0.00
# Energy above the most stable polymorph in this dataset in kcal/mol of atoms: 0.37
data_Tb4Pr3Sm4
_symmetry_space_group_name_H-M 'I m m m'
_symmetry_Int_Tables_number 71
_symmetry_space_group_name_Hall '-I 2 2'
_cell_length_a 3.590
_cell_length_b 11.399
_cell_length_c 18.744
_cell_angle_alpha 90.00
_cell_angle_beta 90.00
_cell_angle_gamma 90.00
loop_
_atom_site_label
_atom_site_type_symbol
_atom_site_fract_x
_atom_site_fract_y
_atom_site_fract_z
Tb1 Tb 0.000 0.000 0.225
Tb2 Tb 0.000 0.214 0.500
Pr1 Pr 0.000 0.000 0.000
Pr2 Pr 0.000 0.500 0.104
Sm1 Sm 0.000 0.261 0.330

***

# ScPAu, relaxed, DFT PBE
# Mass density in g/cm³: 8.23
# ΔE_f in meV per atom: -729
# Total moment in μB/f.u.: 0.00
data_ScPAu
_symmetry_space_group_name_H-M 'P 3 m 1'
_symmetry_Int_Tables_number 156
_symmetry_space_group_name_Hall 'P 3 -2"'
_cell_length_a 4.0879
_cell_length_b 4.0879
_cell_length_c 3.8061
_cell_angle_alpha 90.00
_cell_angle_beta 90.00
_cell_angle_gamma 120.00
loop_
_atom_site_label
_atom_site_type_symbol
_atom_site_fract_x
_atom_site_fract_y
_atom_site_fract_z
Sc1 Sc 0.0000 0.0000 0.0000
P1 P 0.3333 0.6667 0.6255
Au1 Au 0.6667 0.3333 0.4500

***

# InCuHg2As, relaxed, DFT PBE
# Mass density in g/cm³: 6.68
# ΔE_f in meV per atom: 815
# Total moment in μB/f.u.: 0.00
# Energy above the most stable polymorph in this dataset in kcal/mol of atoms: 8.93
data_InCuHg2As
_symmetry_space_group_name_H-M 'P 4/m m m'
_symmetry_Int_Tables_number 123
_symmetry_space_group_name_Hall '-P 4 2'
_cell_length_a 5.554
_cell_length_b 5.554
_cell_length_c 5.275
_cell_angle_alpha 90.00
_cell_angle_beta 90.00
_cell_angle_gamma 90.00
loop_
_atom_site_label
_atom_site_type_symbol
_atom_site_fract_x
_atom_site_fract_y
_atom_site_fract_z
In1 In 0.000 0.000 0.000
Cu1 Cu 0.500 0.500 0.500
Hg1 Hg 0.000 0.500 0.000
As1 As 0.000 0.000 0.500

***

Copy entry 2 word for word.
# ScPAu, relaxed, DFT PBE
# Mass density in g/cm³: 8.23
# ΔE_f in meV per atom: -729
# Total moment in μB/f.u.: 0.00
data_ScPAu
_symmetry_space_group_name_H-M 'P 3 m 1'
_symmetry_Int_Tables_number 156
_symmetry_space_group_name_Hall 'P 3 -2"'
_cell_length_a 4.0879
_cell_length_b 4.0879
_cell_length_c 3.8061
_cell_angle_alpha 90.00
_cell_angle_beta 90.00
_cell_angle_gamma 120.00
loop_
_atom_site_label
_atom_site_type_symbol
_atom_site_fract_x
_atom_site_fract_y
_atom_site_fract_z
Sc1 Sc 0.0000 0.0000 0.0000
P1 P 0.3333 0.6667 0.6255
Au1 Au 0.6667 0.3333 0.4500